(1)
Below is a relaxed Cr2CuNi crystal, with properties calculated at the PBE level.

The final energy comes out at -7.0961 eV per atom. As for the density of states at the Fermi level: 1.2611 states/eV/atom.

Cell: 2.421 3.894 4.845 Å, 90.00 90.30 90.00°
Atoms (fractional coordinates):
Cr 0.000 0.000 0.240
Cr 0.000 0.000 0.760
Cu 0.500 0.500 0.500
Ni 0.500 0.500 0.000

---

(2)
Below is a relaxed CrCuNi6 crystal, with properties calculated at the PBE level.

The final energy comes out at -6.0443 eV per atom. As for the density of states at the Fermi level: 1.3504 states/eV/atom. The calculation puts the offset from the most stable computed form at 13 meV per atom.

Cell: 6.117 6.117 10.001 Å, 90.00 90.00 109.39°
Atoms (fractional coordinates):
Cr 0.000 0.000 0.245
Cr 0.000 0.000 0.755
Cr 0.247 0.753 0.500
Cr 0.753 0.247 0.500
Cu 0.252 0.748 0.000
Cu 0.500 0.500 0.250
Cu 0.500 0.500 0.750
Cu 0.748 0.252 0.000
Ni 0.000 0.000 0.000
Ni 0.000 0.000 0.500
Ni 0.121 0.373 0.376
Ni 0.121 0.373 0.624
Ni 0.123 0.371 0.127
Ni 0.123 0.371 0.873
Ni 0.248 0.752 0.253
Ni 0.248 0.752 0.747
Ni 0.371 0.123 0.127
Ni 0.371 0.123 0.873
Ni 0.373 0.121 0.376
Ni 0.373 0.121 0.624
Ni 0.500 0.500 0.000
Ni 0.500 0.500 0.500
Ni 0.627 0.879 0.376
Ni 0.627 0.879 0.624
Ni 0.629 0.877 0.127
Ni 0.629 0.877 0.873
Ni 0.752 0.248 0.253
Ni 0.752 0.248 0.747
Ni 0.877 0.629 0.127
Ni 0.877 0.629 0.873
Ni 0.879 0.627 0.376
Ni 0.879 0.627 0.624